1.
Entry from the Alexandria database: ReSiTc2 after structural relaxation (PBE).

The structure in POSCAR format:
```
ReSiTc2
1.0
2.602 -4.201 0.000
2.602 4.201 0.000
-0.964 0.000 2.614
Re Si Tc
1 1 2
direct
0.000 0.000 0.000
0.500 0.500 0.000
0.000 0.500 0.500
0.500 0.000 0.500
```

2.
Entry from the Alexandria database: ReSiTc2 after structural relaxation (PBE).

The structure in POSCAR format:
```
ReSiTc2
1.0
2.036 1.175 4.365
-2.036 1.175 4.365
0.000 -2.351 4.365
Re Si Tc
1 1 2
direct
0.000 0.000 0.000
0.193 0.193 0.193
0.595 0.595 0.595
0.785 0.785 0.785
```

3.
Entry from the Alexandria database: ReSiTc2 after structural relaxation (PBE).

The structure in POSCAR format:
```
ReSiTc2
1.0
2.910 0.000 0.000
0.000 2.910 0.000
0.000 0.000 6.564
Re Si Tc
1 1 2
direct
0.000 0.000 0.000
0.500 0.500 0.234
0.000 0.000 0.458
0.500 0.500 0.730
```

The records above give, respectively, uncorrected formation energy values of 0.4, 0.2, -0.7 eV/f.u..